Entry 1:
Here is K2CaTi after structural relaxation from Alexandria. Energies are from PBE.

Unit cell a=10.3445 b=10.3445 c=6.9035 alpha=90.00 beta=90.00 gamma=90.00
Last column: nearest neighbours and their distance in Å.
Space group I-42d (No. 122)
One atom of each set of equivalent atoms:
K1 0.2248 0.2500 0.1250 x8  2 K 3.49, 2 Ti 3.58
Ca1 0.0000 0.0000 0.5000 x4  2 Ti 3.45
Ti1 0.0000 0.0000 0.0000 x4  2 Ca 3.45, 4 K 3.58

Computed properties:
Total magnetic moment ... 15.6 Bohr magnetons per cell
Density of states at the Fermi level ... 5.837 states/eV/f.u.
E ... -2.05 eV/atom

Entry 2:
Here is Ni2Ge2Te after structural relaxation from Alexandria. Energies are from PBE.

Unit cell a=7.6204 b=7.6204 c=2.9157 alpha=90.00 beta=90.00 gamma=90.00
Last column: nearest neighbours and their distance in Å.
Space group P4/mbm (No. 127)
One atom of each set of equivalent atoms:
Ni1 0.1208 0.3792 0.0000 x4  4 Ge 2.54, 1 Ni 2.60
Ge1 0.1502 0.6502 0.5000 x4  4 Ni 2.54
Te1 0.0000 0.0000 0.5000 x2  4 Ge 2.90, 2 Te 2.92

Computed properties:
Total magnetic moment ... 0.0 Bohr magnetons per cell
Density of states at the Fermi level ... 4.303 states/eV/f.u.
E ... -4.55 eV/atom